Record 1
## LiAc2Os (PBE-GGA)

Data for an optimized crystal structure of LiAc2Os.

Unit cell a=3.522 b=3.522 c=11.810 alpha=81.42 beta=81.42 gamma=60.00
Fractional positions:
Ac1 0.077 0.077 0.769
Ac2 0.923 0.923 0.231
Os1 0.000 0.000 0.000
Li1 0.500 0.500 0.500

Properties
* SG: R-3m (166)
* ΔH_f (0 K): 0.963 eV per atom

---

Record 2
## Sb2HWI (PBE-GGA)

Data for an optimized crystal structure of Sb2HWI.

Unit cell a=4.407 b=4.407 c=5.407 alpha=90.00 beta=90.00 gamma=90.00
Fractional positions:
I1 0.000 0.000 0.500
Sb1 0.000 0.500 0.000
Sb2 0.500 0.000 0.000
W1 0.500 0.500 0.500
H1 0.000 0.000 0.000

Properties
* SG: P4/mmm (123)
* polymorph energy (0 for the lowest one): 98.6 kJ/mol of formula units

---

Record 3
## MgZr2Cl (PBE-GGA)

Data for an optimized crystal structure of MgZr2Cl.

Unit cell a=6.012 b=6.012 c=6.012 alpha=139.60 beta=139.60 gamma=58.46
Fractional positions:
Cl1 0.250 0.750 0.500
Mg1 0.750 0.250 0.500
Zr1 0.000 0.000 0.000
Zr2 0.500 0.500 0.000

Properties
* SG: I4/mmm (139)
* formation energy without anion corrections: 0.566 eV/f.u.
* polymorph energy (0 for the lowest one): 242.9 kJ/mol of formula units

---

Record 4
## Dy12CuRu6 (PBE-GGA)

Data for an optimized crystal structure of Dy12CuRu6.

Unit cell a=8.091 b=8.091 c=8.091 alpha=100.16 beta=100.16 gamma=100.16
Fractional positions:
Dy1 0.822 0.583 0.435
Dy2 0.435 0.822 0.583
Dy3 0.583 0.435 0.822
Dy4 0.178 0.417 0.565
Dy5 0.565 0.178 0.417
Dy6 0.417 0.565 0.178
Dy7 0.081 0.944 0.328
Dy8 0.056 0.672 0.919
Dy9 0.672 0.919 0.056
Dy10 0.919 0.056 0.672
Dy11 0.944 0.328 0.081
Dy12 0.328 0.081 0.944
Cu1 0.000 0.000 0.000
Ru1 0.700 0.866 0.384
Ru2 0.616 0.300 0.134
Ru3 0.134 0.616 0.300
Ru4 0.300 0.134 0.616
Ru5 0.384 0.700 0.866
Ru6 0.866 0.384 0.700

Properties
* SG: R-3 (148)
* ΔH_f (0 K): -0.167 eV per atom

---

Record 5
## K2Zr3Se6 (PBE-GGA)

Data for an optimized crystal structure of K2Zr3Se6.

Unit cell a=6.642 b=6.641 c=8.337 alpha=82.36 beta=74.57 gamma=60.00
Fractional positions:
K1 0.167 0.667 0.500
K2 0.833 0.333 0.500
Zr1 0.000 0.000 0.000
Zr2 0.333 0.335 0.000
Zr3 0.667 0.665 0.000
Se1 0.401 0.669 0.799
Se2 0.731 0.000 0.799
Se3 0.070 0.331 0.799
Se4 0.269 0.000 0.201
Se5 0.599 0.331 0.201
Se6 0.930 0.669 0.201

Properties
* SG: C2/m (12)
* formation energy without anion corrections: -15.356 eV/f.u.

---

Record 6
## Ba5BiSb2P (PBE-GGA)

Data for an optimized crystal structure of Ba5BiSb2P.

Unit cell a=5.692 b=8.382 c=10.074 alpha=114.58 beta=106.41 gamma=90.00
Fractional positions:
Ba1 0.638 0.884 0.276
Ba2 0.362 0.116 0.724
Ba3 0.362 0.608 0.724
Ba4 0.638 0.392 0.276
Ba5 0.000 0.000 0.000
Bi1 0.000 0.500 0.000
Sb1 0.197 0.197 0.395
Sb2 0.803 0.803 0.605
P1 0.500 0.000 0.000

Properties
* SG: Immm (71)
* formation energy without anion corrections: -7.111 eV/f.u.